# 1
ZnAuSe | PBE | relaxed

Lattice parameters (Å, degrees): 6.2501 6.2501 6.2501 154.56 146.87 42.23
Closest atoms and distances in Å follow each position.
Element x y z (fractional)
Au 0.0220 0.0220 0.0000  2 Au 2.75, 4 Zn 2.76
Se 0.3189 0.3189 0.0000  2 Se 2.75, 4 Zn 2.92
Zn 0.6591 0.6591 0.0000  2 Zn 2.75, 4 Au 2.76, 4 Se 2.92

Computed properties:
The total magnetization comes out at 0.000 μB/f.u. For the uncorrected formation energy, the calculation gives 0.0669 eV per atom. The calculation puts the density of states at the Fermi level at 1.13 states/eV/cell. As for the total energy: -2.6118 eV/atom. As for the offset from the most stable computed form: 0.258 eV per atom.

# 2
TbPr6Y3 | PBE | relaxed

Lattice parameters (Å, degrees): 6.3525 11.2986 11.2986 120.56 90.00 90.00
Closest atoms and distances in Å follow each position.
Element x y z (fractional)
Pr 0.1446 0.7198 0.2802  2 Pr 3.17, 1 Tb 3.39, 1 Y 3.43
Pr 0.0410 0.7095 0.6261  4 Y 3.54-3.78, 5 Pr 3.55-3.82
Pr 0.8668 0.9436 0.5243  1 Pr 3.17, 1 Y 3.36, 1 Tb 3.38
Pr 0.5410 0.2905 0.3739  4 Y 3.54-3.78, 5 Pr 3.55-3.82
Pr 0.6446 0.2802 0.7198  2 Pr 3.17, 1 Tb 3.39, 1 Y 3.43
Pr 0.4056 0.9605 0.0395  1 Tb 3.41, 2 Pr 3.53, 4 Y 3.57-3.69
Pr 0.5410 0.6261 0.7095  4 Y 3.54-3.78, 5 Pr 3.55-3.82
Pr 0.3668 0.0564 0.4757  1 Pr 3.17, 1 Y 3.36, 1 Tb 3.38
Pr 0.0410 0.3739 0.2905  4 Y 3.54-3.78, 5 Pr 3.55-3.82
Pr 0.9056 0.0395 0.9605  1 Tb 3.41, 2 Pr 3.53, 4 Y 3.57-3.69
Pr 0.8668 0.4757 0.0564  1 Pr 3.17, 1 Y 3.36, 1 Tb 3.38
Pr 0.3668 0.5243 0.9436  1 Pr 3.17, 1 Y 3.36, 1 Tb 3.38
Y 0.5770 0.6150 0.3850  7 Pr 3.43-3.78, 1 Tb 3.65, 2 Y 3.78
Y 0.9637 0.7172 0.9446  6 Pr 3.36-3.69, 1 Tb 3.36
Y 0.4637 0.2828 0.0554  6 Pr 3.36-3.69, 1 Tb 3.36
Y 0.9637 0.0554 0.2828  6 Pr 3.36-3.69, 1 Tb 3.36
Y 0.4637 0.9446 0.7172  6 Pr 3.36-3.69, 1 Tb 3.36
Y 0.0770 0.3850 0.6150  7 Pr 3.43-3.78, 1 Tb 3.65, 2 Y 3.78
Tb 0.6153 0.8007 0.1993  3 Y 3.36-3.65, 7 Pr 3.38-3.72
Tb 0.1153 0.1993 0.8007  3 Y 3.36-3.65, 7 Pr 3.38-3.72

Computed properties:
The total magnetization comes out at 0.000 μB/f.u. The calculation puts the density of states at the Fermi level at 28.04 states/eV/cell. As for the total energy: -5.1376 eV/atom.

# 3
PrPaCrN4 | PBE | relaxed

Lattice parameters (Å, degrees): 5.7904 5.3412 6.8230 90.00 107.36 90.00
Closest atoms and distances in Å follow each position.
Element x y z (fractional)
N 0.5738 0.2500 0.4344  1 Cr 1.77
N 0.0186 0.9968 0.2802  1 Cr 1.78
N 0.0186 0.5032 0.2802  1 Cr 1.78
N 0.9814 0.0032 0.7198  1 Cr 1.78
N 0.5659 0.2500 0.8489  1 Cr 1.81
N 0.4262 0.7500 0.5656  1 Cr 1.77
N 0.9814 0.4968 0.7198  1 Cr 1.78
N 0.4341 0.7500 0.1511  1 Cr 1.81
Cr 0.7662 0.2500 0.6905  4 N 1.77-1.81
Cr 0.2338 0.7500 0.3095  4 N 1.77-1.81
Pr 0.2884 0.2500 0.0729  6 N 2.53-2.80
Pr 0.7116 0.7500 0.9271  6 N 2.53-2.80
Pa 0.7716 0.7500 0.4441  6 N 2.34-2.45
Pa 0.2284 0.2500 0.5559  6 N 2.34-2.45

Computed properties:
The total magnetization comes out at 0.635 μB/f.u. For the uncorrected formation energy, the calculation gives -1.0638 eV per atom. The calculation puts the density of states at the Fermi level at 10.91 states/eV/cell. As for the total energy: -9.2353 eV/atom.

# 4
As2SBrN | PBE | relaxed

Lattice parameters (Å, degrees): 4.9235 4.9235 5.3362 90.00 90.00 90.00
Closest atoms and distances in Å follow each position.
Element x y z (fractional)
Br 0.0000 0.0000 0.5000  2 S 2.67
As 0.0000 0.5000 0.0000  2 S 2.46
As 0.5000 0.0000 0.0000  2 S 2.46
S 0.0000 0.0000 0.0000  4 As 2.46, 2 Br 2.67
N 0.5000 0.5000 0.5000  4 Br 3.48, 8 As 3.63

Computed properties:
The total magnetization comes out at 0.849 μB/f.u. For the uncorrected formation energy, the calculation gives 1.6633 eV per atom. The calculation puts the density of states at the Fermi level at 2.59 states/eV/cell. As for the total energy: -3.0216 eV/atom. As for the offset from the most stable computed form: 0.535 eV per atom.

# 5
LiTl2CuI5 | PBE | relaxed

Lattice parameters (Å, degrees): 4.2991 11.0860 14.0959 90.00 90.00 101.18
Closest atoms and distances in Å follow each position.
Element x y z (fractional)
Tl 0.1194 0.2387 0.3183  6 I 3.49-3.57
Tl 0.8806 0.7613 0.8183  6 I 3.49-3.57
Tl 0.1382 0.2764 0.6902  7 I 3.42-3.73
Tl 0.8618 0.7236 0.1902  7 I 3.42-3.73
I 0.3188 0.6376 0.3864  1 Cu 2.62
I 0.6812 0.3624 0.8864  1 Cu 2.62
I 0.4926 0.9852 0.2679  1 Cu 2.60
I 0.6589 0.3177 0.5039  1 Li 2.85
I 0.7021 0.4042 0.1711  2 Li 2.92
I 0.9633 0.9267 0.5248  2 Cu 2.60
I 0.0367 0.0733 0.0248  2 Cu 2.60
I 0.3411 0.6823 0.0039  1 Li 2.85
I 0.2979 0.5958 0.6711  2 Li 2.92
I 0.5074 0.0148 0.7679  1 Cu 2.60
Cu 0.4358 0.8716 0.4298  4 I 2.60-2.62
Cu 0.5642 0.1284 0.9298  4 I 2.60-2.62
Li 0.7886 0.5773 0.5315  5 I 2.85-3.04
Li 0.2114 0.4227 0.0315  5 I 2.85-3.04

Computed properties:
The total magnetization comes out at 0.000 μB/f.u. For the uncorrected formation energy, the calculation gives -0.5691 eV per atom. The calculation puts the density of states at the Fermi level at 14.83 states/eV/cell. As for the total energy: -2.6239 eV/atom.

# 6
Mn3Tl2Se6 | PBE | relaxed

Lattice parameters (Å, degrees): 6.4272 6.4272 7.9869 82.16 74.17 60.00
Closest atoms and distances in Å follow each position.
Element x y z (fractional)
Se 0.7259 0.0000 0.8221  3 Mn 2.55-2.57
Se 0.9364 0.6682 0.1844  3 Mn 2.55-2.57
Se 0.3954 0.6682 0.8156  3 Mn 2.55-2.57
Se 0.2741 0.0000 0.1779  3 Mn 2.55-2.57
Se 0.6046 0.3318 0.1844  3 Mn 2.55-2.57
Se 0.0636 0.3318 0.8156  3 Mn 2.55-2.57
Mn 0.0000 0.0000 0.0000  6 Se 2.55-2.56
Mn 0.6700 0.6600 0.0000  6 Se 2.55-2.57
Mn 0.3300 0.3400 0.0000  6 Se 2.55-2.57
Tl 0.1652 0.6697 0.5000  6 Se 3.24-3.26
Tl 0.8348 0.3303 0.5000  6 Se 3.24-3.26

Computed properties:
The total magnetization comes out at 11.043 μB/f.u. For the uncorrected formation energy, the calculation gives -0.4455 eV per atom. The calculation puts the density of states at the Fermi level at 3.55 states/eV/cell. As for the total energy: -5.2771 eV/atom.

# 7
CeGa2P2Pt7 | PBE | relaxed

Lattice parameters (Å, degrees): 3.9460 3.9460 14.4643 85.72 85.72 90.02
Closest atoms and distances in Å follow each position.
Element x y z (fractional)
Pt 0.0464 0.5460 0.8399  2 P 2.38
Pt 0.4540 0.9536 0.1601  2 P 2.38
Pt 0.9536 0.4540 0.1601  2 P 2.38
Pt 0.5460 0.0464 0.8399  2 P 2.38
Pt 0.5000 0.5000 0.0000  4 Ce 2.79, 8 Pt 3.03-3.04
Pt 0.4103 0.4103 0.4102  1 P 2.27
Pt 0.5897 0.5897 0.5898  1 P 2.27
Ga 0.8671 0.8671 0.4253  4 Pt 2.58-2.81, 1 Ga 2.75
Ga 0.1329 0.1329 0.5747  4 Pt 2.58-2.81, 1 Ga 2.75
Ce 0.0000 0.0000 0.0000  12 Pt 2.79-3.04
P 0.4284 0.4284 0.2530  5 Pt 2.27-2.38
P 0.5716 0.5716 0.7470  5 Pt 2.27-2.38

Computed properties:
The total magnetization comes out at 0.158 μB/f.u. The calculation puts the density of states at the Fermi level at 7.50 states/eV/cell. As for the total energy: -6.0119 eV/atom.

# 8
Na3CePb2S6 | PBE | relaxed

Lattice parameters (Å, degrees): 7.1235 7.1235 7.1215 99.66 99.66 119.95
Closest atoms and distances in Å follow each position.
Element x y z (fractional)
S 0.6049 0.9210 0.7628  1 Ce 2.76, 3 Na 2.91-3.00, 2 Pb 2.92
S 0.7635 0.7635 0.2357  1 Ce 2.75, 2 Pb 2.90, 3 Na 2.97-3.07
S 0.9210 0.6049 0.7628  1 Ce 2.76, 3 Na 2.91-3.00, 2 Pb 2.92
S 0.2364 0.2364 0.7643  1 Ce 2.75, 2 Pb 2.90, 3 Na 2.97-3.07
S 0.0790 0.3951 0.2372  1 Ce 2.76, 3 Na 2.91-3.00, 2 Pb 2.92
S 0.3951 0.0790 0.2372  1 Ce 2.76, 3 Na 2.91-3.00, 2 Pb 2.92
Ce 0.0000 0.0000 0.0000  6 S 2.75-2.76
Na 0.5000 0.5000 0.5000  6 S 2.91-3.07
Na 0.8272 0.1728 0.5000  6 S 2.92-3.00
Na 0.1728 0.8272 0.5000  6 S 2.92-3.00
Pb 0.3342 0.6658 0.0000  6 S 2.90-2.92
Pb 0.6658 0.3342 0.0000  6 S 2.90-2.92

Computed properties:
The total magnetization comes out at 0.000 μB/f.u. For the uncorrected formation energy, the calculation gives -1.0641 eV per atom. The calculation puts the density of states at the Fermi level at 6.62 states/eV/cell. As for the total energy: -4.5701 eV/atom.

# 9
Ac5PrPb6 | PBE | relaxed

Lattice parameters (Å, degrees): 6.1631 9.5916 10.3945 62.52 72.91 50.44
Closest atoms and distances in Å follow each position.
Element x y z (fractional)
Pb 0.2749 0.2256 0.0000  1 Pb 3.34, 2 Pr 3.50-3.51, 6 Ac 3.60-3.70
Pb 0.7639 0.0726 0.3278  1 Pr 3.49, 2 Pb 3.50-3.90, 7 Ac 3.54-3.67
Pb 0.7639 0.4003 0.6722  1 Pr 3.49, 2 Pb 3.50-3.90, 7 Ac 3.54-3.67
Pb 0.7251 0.7744 0.0000  1 Pb 3.34, 2 Pr 3.50-3.51, 6 Ac 3.60-3.70
Pb 0.2361 0.9274 0.6722  1 Pr 3.49, 2 Pb 3.50-3.90, 7 Ac 3.54-3.67
Pb 0.2361 0.5997 0.3278  1 Pr 3.49, 2 Pb 3.50-3.90, 7 Ac 3.54-3.67
Pr 0.0000 0.0000 0.0000  8 Pb 3.49-3.51, 2 Ac 3.70
Ac 0.5000 0.5000 0.0000  8 Pb 3.60-3.70, 2 Pr 3.70
Ac 0.0000 0.3389 0.3222  8 Pb 3.60-3.67, 2 Ac 3.70
Ac 0.0000 0.6611 0.6778  8 Pb 3.60-3.67, 2 Ac 3.70
Ac 0.5000 0.1731 0.6538  8 Pb 3.54-3.60, 2 Ac 3.70
Ac 0.5000 0.8269 0.3462  8 Pb 3.54-3.60, 2 Ac 3.70

Computed properties:
The total magnetization comes out at 1.506 μB/f.u. The calculation puts the density of states at the Fermi level at 10.82 states/eV/cell. As for the total energy: -4.4393 eV/atom.

# 10
Ba3Pa2O7 | PBE | relaxed

Lattice parameters (Å, degrees): 4.3698 4.3623 14.4173 98.70 90.00 90.00
Closest atoms and distances in Å follow each position.
Element x y z (fractional)
Pa 0.0000 0.9202 0.8404  6 O 2.10-2.27
Pa 0.0000 0.0798 0.1596  6 O 2.10-2.27
Ba 0.5000 0.6754 0.3508  4 O 3.15
Ba 0.5000 0.3246 0.6492  4 O 3.15
Ba 0.5000 0.5000 0.0000  12 O 2.99-3.09
O 0.5000 0.0717 0.1434  2 Pa 2.20
O 0.0000 0.1535 0.3070  1 Pa 2.10
O 0.0000 0.8465 0.6930  1 Pa 2.10
O 0.0000 0.5721 0.1442  2 Pa 2.19
O 0.0000 0.4279 0.8558  2 Pa 2.19
O 0.5000 0.9283 0.8566  2 Pa 2.20
O 0.0000 0.0000 0.0000  2 Pa 2.27

Computed properties:
The total magnetization comes out at 0.313 μB/f.u. For the uncorrected formation energy, the calculation gives -3.0134 eV per atom. The calculation puts the density of states at the Fermi level at 4.76 states/eV/cell. As for the total energy: -7.9690 eV/atom. As for the offset from the most stable computed form: 0.045 eV per atom.

# 11
InCu2Bi | PBE | relaxed

Lattice parameters (Å, degrees): 4.5005 4.5005 9.3440 76.06 76.06 90.00
Closest atoms and distances in Å follow each position.
Element x y z (fractional)
Cu 0.3750 0.4302 0.7500  2 In 2.62, 2 Bi 2.82, 2 Cu 2.85
Cu 0.5698 0.1250 0.2500  2 In 2.62, 2 Bi 2.82, 2 Cu 2.85
Cu 0.8750 0.8198 0.7500  2 In 2.62, 2 Bi 2.82, 2 Cu 2.85
Cu 0.1802 0.6250 0.2500  2 In 2.62, 2 Bi 2.82, 2 Cu 2.85
Bi 0.0000 0.0000 0.0000  4 Cu 2.82
Bi 0.7500 0.2500 0.5000  4 Cu 2.82
In 0.2500 0.7500 0.5000  4 Cu 2.62
In 0.5000 0.5000 0.0000  4 Cu 2.62

Computed properties:
The total magnetization comes out at 0.000 μB/f.u. The calculation puts the density of states at the Fermi level at 3.52 states/eV/cell. As for the total energy: -3.4037 eV/atom. As for the offset from the most stable computed form: 0.037 eV per atom.